The following is a DFT calculation (PBE) of Tb2Sm3Ag2 after structural relaxation.

Computed properties:
Symmetry: C2/m (12)
DFT formation energy (eV per formula unit): 0.34
Final energy (eV per atom): -4.112

Lattice parameters (Å, degrees): 23.595 4.792 3.461 90.00 90.03 90.00
Positions (direct):
Tb: 0.208 0.000 0.001
Tb: 0.292 0.500 0.999
Tb: 0.708 0.500 0.001
Tb: 0.792 0.000 0.999
Sm: 0.000 0.500 0.500
Sm: 0.137 0.500 0.500
Sm: 0.363 0.000 0.500
Sm: 0.500 0.000 0.500
Sm: 0.637 0.000 0.500
Sm: 0.863 0.500 0.500
Ag: 0.070 0.000 0.000
Ag: 0.430 0.500 0.000
Ag: 0.570 0.500 0.000
Ag: 0.930 0.000 0.000

The following is a DFT calculation (PBE) of Dy3Sn2Pd6 after structural relaxation.

Computed properties:
Symmetry: Im-3m (229)
DFT formation energy (eV per formula unit): -8.73
Final energy (eV per atom): -5.609

Lattice parameters (Å, degrees): 8.362 8.362 8.362 109.47 109.47 109.47
Positions (direct):
Dy: 0.000 0.289 0.289
Dy: 0.000 0.711 0.711
Dy: 0.289 0.000 0.289
Dy: 0.289 0.289 0.000
Dy: 0.711 0.000 0.711
Dy: 0.711 0.711 0.000
Sn: 0.000 0.000 0.500
Sn: 0.000 0.500 0.000
Sn: 0.500 0.000 0.000
Sn: 0.500 0.500 0.500
Pd: 0.000 0.343 0.657
Pd: 0.000 0.657 0.343
Pd: 0.315 0.657 0.657
Pd: 0.343 0.000 0.657
Pd: 0.343 0.343 0.685
Pd: 0.343 0.657 0.000
Pd: 0.343 0.685 0.343
Pd: 0.657 0.000 0.343
Pd: 0.657 0.315 0.657
Pd: 0.657 0.343 0.000
Pd: 0.657 0.657 0.315
Pd: 0.685 0.343 0.343

The following is a DFT calculation (PBE) of CeDy4Y after structural relaxation.

Computed properties:
Symmetry: Imma (74)
DFT formation energy (eV per formula unit): 1.66
Final energy (eV per atom): -4.858

Lattice parameters (Å, degrees): 8.335 8.335 8.335 133.07 92.69 105.67
Positions (direct):
Ce: 0.000 0.000 0.000
Ce: 0.500 0.000 0.500
Dy: 0.171 0.667 0.504
Dy: 0.334 0.331 0.497
Dy: 0.334 0.836 0.003
Dy: 0.336 0.333 0.004
Dy: 0.664 0.667 0.996
Dy: 0.666 0.164 0.997
Dy: 0.666 0.669 0.503
Dy: 0.829 0.333 0.496
Y: 0.000 0.000 0.500
Y: 0.000 0.500 0.000

The following is a DFT calculation (PBE) of UTl3Ga2O9 after structural relaxation.

Computed properties:
Symmetry: P-3m1 (164)
Formation energy from raw total energies (meV per atom): -1528
Final energy (eV per atom): -6.133

Lattice parameters (Å, degrees): 5.703 5.703 7.164 90.00 90.00 120.00
Positions (direct):
U: 0.000 0.000 0.000
Tl: 0.000 0.000 0.500
Tl: 0.333 0.667 0.231
Tl: 0.667 0.333 0.769
Ga: 0.333 0.667 0.665
Ga: 0.667 0.333 0.335
O: 0.000 0.500 0.500
O: 0.169 0.338 0.827
O: 0.169 0.831 0.827
O: 0.338 0.169 0.173
O: 0.500 0.000 0.500
O: 0.500 0.500 0.500
O: 0.662 0.831 0.827
O: 0.831 0.169 0.173
O: 0.831 0.662 0.173

The following is a DFT calculation (PBE) of CrGaAs2Pd after structural relaxation.

Computed properties:
Symmetry: P4/mmm (123)
DFT formation energy (eV per formula unit): 5.65
Final energy (eV per atom): -4.298

Lattice parameters (Å, degrees): 4.832 4.832 4.573 90.00 90.00 90.00
Positions (direct):
Cr: 0.000 0.000 0.000
Ga: 0.500 0.500 0.500
As: 0.000 0.500 0.500
As: 0.500 0.000 0.500
Pd: 0.500 0.500 0.000

The following is a DFT calculation (PBE) of BeAgCl2 after structural relaxation.

Computed properties:
Symmetry: C2/m (12)
Formation energy from raw total energies (meV per atom): 88
Final energy (eV per atom): -2.480

Lattice parameters (Å, degrees): 7.201 7.203 3.396 90.00 90.94 90.00
Positions (direct):
Be: 0.000 0.000 0.000
Be: 0.500 0.500 0.000
Ag: 0.000 0.500 0.000
Ag: 0.500 0.000 0.000
Cl: 0.250 0.250 0.000
Cl: 0.250 0.750 0.000
Cl: 0.750 0.250 0.000
Cl: 0.750 0.750 0.000

| no. | size of the total moment (μB per cell) |
| --- | --- |
| 1 | 0.00 |
| 2 | 0.00 |
| 3 | 3.08 |
| 4 | 0.00 |
| 5 | 0.48 |
| 6 | 0.98 |